MnCo3F: relaxed, PBE+U.

Summary:
N(E_F) ... 5.2 states/eV/cell
Total magnetization ... 10.09 μB/f.u.
Electronic total energy ... -3.56 eV/atom

a = 4.561 Å, b = 4.561 Å, c = 4.561 Å
α = 90.00°, β = 90.00°, γ = 90.00°
Space group Pm-3m (No. 221)
Inequivalent atoms, fractional coordinates:
Mn (0.000, 0.000, 0.000) [1 per cell]
Co (0.000, 0.000, 0.500) [3 per cell]
F (0.500, 0.500, 0.500) [1 per cell]